No. 1
Density functional theory data (PBE) for a relaxed structure of Tb3Pm2PrAs6.

a b c (Å): 9.390 9.390 8.398
angles (deg): 102.89 102.89 25.86
Sites, in units of the cell vectors:
Tb1 0.000 0.000 0.000
Tb2 0.333 0.333 0.667
Tb3 0.667 0.667 0.333
Pm1 0.333 0.333 0.166
Pm2 0.667 0.667 0.834
Pr1 0.000 0.000 0.500
As1 0.165 0.165 0.087
As2 0.169 0.169 0.580
As3 0.499 0.499 0.756
As4 0.501 0.501 0.244
As5 0.831 0.831 0.420
As6 0.835 0.835 0.913

Calculated values
E_form: -1.525 eV per atom
E: -6.198 eV per atom
Crystal system: monoclinic


No. 2
Density functional theory data (PBE) for a relaxed structure of MgIn2AgCl5.

a b c (Å): 10.146 10.146 13.119
angles (deg): 90.00 90.00 157.89
Sites, in units of the cell vectors:
Mg1 0.221 0.779 0.500
Mg2 0.779 0.221 0.000
In1 0.119 0.881 0.776
In2 0.125 0.875 0.163
In3 0.875 0.125 0.663
In4 0.881 0.119 0.276
Ag1 0.429 0.571 0.899
Ag2 0.571 0.429 0.399
Cl1 0.096 0.904 0.528
Cl2 0.273 0.727 0.131
Cl3 0.289 0.711 0.872
Cl4 0.347 0.653 0.492
Cl5 0.495 0.505 0.251
Cl6 0.505 0.495 0.751
Cl7 0.653 0.347 0.992
Cl8 0.711 0.289 0.372
Cl9 0.727 0.273 0.631
Cl10 0.904 0.096 0.028

Calculated values
E: -3.192 eV per atom
Crystal system: orthorhombic


No. 3
Density functional theory data (PBE) for a relaxed structure of Pr4NdY3.

a b c (Å): 5.179 10.347 10.331
angles (deg): 90.00 90.00 90.00
Sites, in units of the cell vectors:
Pr1 0.250 0.000 0.128
Pr2 0.250 0.250 0.872
Pr3 0.250 0.500 0.128
Pr4 0.250 0.750 0.872
Pr5 0.750 0.000 0.872
Pr6 0.750 0.250 0.128
Pr7 0.750 0.500 0.872
Pr8 0.750 0.750 0.128
Nd1 0.250 0.250 0.379
Nd2 0.750 0.750 0.621
Y1 0.250 0.001 0.621
Y2 0.250 0.499 0.621
Y3 0.250 0.750 0.378
Y4 0.750 0.250 0.622
Y5 0.750 0.501 0.379
Y6 0.750 0.999 0.379

Calculated values
E_form: 0.020 eV per atom
E: -5.390 eV per atom
Energy above the most stable polymorph in this dataset: 0 meV per atom
Crystal system: orthorhombic


No. 4
Density functional theory data (PBE) for a relaxed structure of Sr2CdCoC.

a b c (Å): 5.591 5.591 3.686
angles (deg): 90.00 90.00 90.00
Sites, in units of the cell vectors:
Sr1 0.000 0.500 0.000
Sr2 0.500 0.000 0.000
Cd1 0.000 0.000 0.500
Co1 0.500 0.500 0.500
C1 0.500 0.500 0.000

Calculated values
E_form: 0.017 eV per atom
E: -4.105 eV per atom
Crystal system: tetragonal


No. 5
Density functional theory data (PBE) for a relaxed structure of ZrPt2W.

a b c (Å): 2.832 4.134 5.727
angles (deg): 90.00 90.00 90.00
Sites, in units of the cell vectors:
Zr1 0.000 0.000 0.000
Pt1 0.500 0.500 0.262
Pt2 0.500 0.500 0.738
W1 0.000 0.000 0.500

Calculated values
E_form: -0.522 eV per atom
E: -8.918 eV per atom
Crystal system: orthorhombic


No. 6
Density functional theory data (PBE) for a relaxed structure of HfIrW2.

a b c (Å): 4.545 4.545 4.545
angles (deg): 60.00 60.00 60.00
Sites, in units of the cell vectors:
Hf1 0.000 0.000 0.000
Ir1 0.500 0.500 0.500
W1 0.250 0.250 0.250
W2 0.750 0.750 0.750

Calculated values
E_form: 0.141 eV per atom
E: -11.039 eV per atom
Energy above the most stable polymorph in this dataset: 0 meV per atom
Crystal system: cubic


No. 7
Density functional theory data (PBE) for a relaxed structure of Ce3Pm4UN8.

a b c (Å): 7.127 7.127 7.127
angles (deg): 60.07 60.07 60.07
Sites, in units of the cell vectors:
Ce1 0.000 0.500 0.500
Ce2 0.500 0.000 0.500
Ce3 0.500 0.500 0.000
Pm1 0.000 0.000 0.500
Pm2 0.000 0.500 0.000
Pm3 0.500 0.000 0.000
Pm4 0.500 0.500 0.500
U1 0.000 0.000 0.000
N1 0.231 0.231 0.763
N2 0.231 0.763 0.231
N3 0.237 0.769 0.769
N4 0.255 0.255 0.255
N5 0.745 0.745 0.745
N6 0.763 0.231 0.231
N7 0.769 0.237 0.769
N8 0.769 0.769 0.237

Calculated values
E: -8.654 eV per atom
Crystal system: trigonal


No. 8
Density functional theory data (PBE) for a relaxed structure of Li3Si3Ni2.

a b c (Å): 6.776 6.776 2.537
angles (deg): 90.00 90.00 120.00
Sites, in units of the cell vectors:
Li1 0.000 0.765 0.000
Li2 0.235 0.235 0.000
Li3 0.765 0.000 0.000
Si1 0.000 0.396 0.500
Si2 0.396 0.000 0.500
Si3 0.604 0.604 0.500
Ni1 0.333 0.667 0.000
Ni2 0.667 0.333 0.000

Calculated values
E: -4.516 eV per atom
Crystal system: hexagonal


No. 9
Density functional theory data (PBE) for a relaxed structure of MgZrRe2.

a b c (Å): 5.371 5.371 5.371
angles (deg): 144.34 130.13 62.80
Sites, in units of the cell vectors:
Mg1 0.000 0.000 0.000
Zr1 0.500 0.500 0.000
Re1 0.256 0.756 0.500
Re2 0.744 0.244 0.500

Calculated values
E_form: 0.209 eV per atom
E: -8.550 eV per atom
Crystal system: orthorhombic


No. 10
Density functional theory data (PBE) for a relaxed structure of Pr3Tm2ScSe6.

a b c (Å): 7.016 7.016 7.360
angles (deg): 99.14 99.14 120.17
Sites, in units of the cell vectors:
Pr1 0.000 0.000 0.000
Pr2 0.331 0.669 0.000
Pr3 0.669 0.331 0.000
Tm1 0.166 0.834 0.500
Tm2 0.834 0.166 0.500
Sc1 0.500 0.500 0.500
Se1 0.098 0.426 0.277
Se2 0.248 0.248 0.725
Se3 0.426 0.098 0.277
Se4 0.574 0.902 0.723
Se5 0.752 0.752 0.275
Se6 0.902 0.574 0.723

Calculated values
E: -5.957 eV per atom
Crystal system: monoclinic


No. 11
Density functional theory data (PBE) for a relaxed structure of SrCr2W.

a b c (Å): 5.447 5.447 5.447
angles (deg): 134.86 134.86 65.75
Sites, in units of the cell vectors:
Sr1 0.000 0.000 0.000
Cr1 0.500 0.500 0.000
Cr2 0.750 0.250 0.500
W1 0.250 0.750 0.500

Calculated values
E_form: 1.345 eV per atom
E: -7.126 eV per atom
Energy above the most stable polymorph in this dataset: 666 meV per atom
Crystal system: tetragonal


No. 12
Density functional theory data (PBE) for a relaxed structure of KAc3Se4.

a b c (Å): 6.345 6.345 6.345
angles (deg): 90.00 90.00 90.00
Sites, in units of the cell vectors:
K1 0.000 0.000 0.000
Ac1 0.000 0.500 0.500
Ac2 0.500 0.000 0.500
Ac3 0.500 0.500 0.000
Se1 0.000 0.000 0.500
Se2 0.000 0.500 0.000
Se3 0.500 0.000 0.000
Se4 0.500 0.500 0.500

Calculated values
E: -5.238 eV per atom
Crystal system: cubic